No. 1
Below is crystalline LiMnSe2 at its relaxed geometry, with properties calculated at the GGA-PBE level.

Properties
- DOS(E_F) (states/eV per atom) = 0.4811
- volume (Å³/atom) = 18.22
- energy relative to the elements, uncorrected (eV/atom) = -0.65

Lattice parameters (Å, degrees): 3.751 5.189 3.744 90.00 90.00 90.00
Space group Pmm2 (No. 25)
Inequivalent atoms, fractional coordinates:
1 Li 0.000 0.000 0.000
2 Mn 0.500 0.500 0.502
3 Se 0.000 0.500 0.002
4 Se 0.500 0.000 0.500

***

No. 2
Below is crystalline Tm8Te4As3Au at its relaxed geometry, with properties calculated at the GGA-PBE level.

Properties
- DOS(E_F) (states/eV per atom) = 0.5702
- volume (Å³/atom) = 26.32
- energy relative to the elements, uncorrected (eV/atom) = -1.31

Lattice parameters (Å, degrees): 8.3664 8.3664 20.8377 90.00 90.00 120.00
Space group R-3m (No. 166, hexagonal axes)
Inequivalent atoms, fractional coordinates:
1 Tm 0.0000 0.0000 0.2389
2 Tm 0.0014 0.5007 0.2398
3 Te 0.0000 0.0000 0.0000
4 Te 0.0000 0.5000 0.0000
5 As 0.0000 0.5000 0.5000
6 Au 0.0000 0.0000 0.5000

***

No. 3
Below is crystalline PmNbOs4 at its relaxed geometry, with properties calculated at the GGA-PBE level.

Properties
- DOS(E_F) (states/eV per atom) = 0.7109
- volume (Å³/atom) = 17.48
- formation energy (meV per atom) = 26

Lattice parameters (Å, degrees): 7.485 7.485 7.485 90.00 90.00 90.00
Space group F-43m (No. 216)
Inequivalent atoms, fractional coordinates:
1 Pm 0.000 0.000 0.000
2 Nb 0.250 0.250 0.750
3 Os 0.125 0.125 0.375

***

No. 4
Below is crystalline Li2AlTc at its relaxed geometry, with properties calculated at the GGA-PBE level.

Properties
- DOS(E_F) (states/eV per atom) = 0.4196
- volume (Å³/atom) = 15.64
- formation energy (meV per atom) = -1

Lattice parameters (Å, degrees): 2.669 2.669 8.778 90.00 90.00 90.00
Space group P4mm (No. 99)
Inequivalent atoms, fractional coordinates:
1 Li 0.000 0.000 0.000
2 Li 0.500 0.500 0.292
3 Al 0.500 0.500 0.759
4 Tc 0.000 0.000 0.536

***

No. 5
Below is crystalline Tm5AlCd4 at its relaxed geometry, with properties calculated at the GGA-PBE level.

Properties
- DOS(E_F) (states/eV per atom) = 0.7672
- volume (Å³/atom) = 24.69
- formation energy (meV per atom) = -326

Lattice parameters (Å, degrees): 3.665 3.665 18.384 90.00 90.00 90.00
Space group P4/mmm (No. 123)
Inequivalent atoms, fractional coordinates:
1 Tm 0.000 0.000 0.000
2 Tm 0.000 0.000 0.203
3 Tm 0.000 0.000 0.406
4 Al 0.500 0.500 0.500
5 Cd 0.500 0.500 0.102
6 Cd 0.500 0.500 0.305

***

No. 6
Below is crystalline CaOsSe2 at its relaxed geometry, with properties calculated at the GGA-PBE level.

Properties
- DOS(E_F) (states/eV per atom) = 0.6490
- relative energy among the computed polymorphs (meV per atom) = 408
- volume (Å³/atom) = 20.51
- energy relative to the elements, uncorrected (eV/atom) = -0.23

Lattice parameters (Å, degrees): 3.575 3.992 5.750 90.00 90.00 90.00
Space group Pmm2 (No. 25)
Inequivalent atoms, fractional coordinates:
1 Ca 0.000 0.000 0.000
2 Os 0.500 0.500 0.380
3 Se 0.000 0.000 0.483
4 Se 0.500 0.500 0.929

***

No. 7
Below is crystalline LiRuOF2 at its relaxed geometry, with properties calculated at the GGA-PBE level.

Properties
- DOS(E_F) (states/eV per atom) = 0.5010
- relative energy among the computed polymorphs (meV per atom) = 0
- volume (Å³/atom) = 13.77
- energy relative to the elements, uncorrected (eV/atom) = -1.41

Lattice parameters (Å, degrees): 4.293 4.293 3.736 90.00 90.00 90.00
Space group P4/mmm (No. 123)
Inequivalent atoms, fractional coordinates:
1 Li 0.000 0.000 0.000
2 Ru 0.500 0.500 0.500
3 O 0.500 0.500 0.000
4 F 0.000 0.500 0.500

***

No. 8
Below is crystalline Y2ZnSb2 at its relaxed geometry, with properties calculated at the GGA-PBE level.

Properties
- DOS(E_F) (states/eV per atom) = 0.0924
- relative energy among the computed polymorphs (meV per atom) = 4
- volume (Å³/atom) = 27.47
- energy relative to the elements, uncorrected (eV/atom) = -0.67

Lattice parameters (Å, degrees): 8.213 8.213 4.072 90.00 90.00 90.00
Space group P4/mbm (No. 127)
Inequivalent atoms, fractional coordinates:
1 Y 0.149 0.351 0.000
2 Zn 0.000 0.000 0.000
3 Sb 0.157 0.657 0.500